No. 1
Computed, not measured: an optimized crystal structure of Ta2BeAu at the PBE level of DFT.

```
Ta2BeAu
1.0
-2.635 2.813 0.426
-1.634 -1.187 -2.267
-3.546 -3.695 2.460
Au Ta Be
1 2 1
direct
0.000 0.681 0.513
0.000 0.955 0.965
0.500 0.313 0.251
0.500 0.551 0.771
```

Values from the calculation:
Energy of formation = -0.009 eV/atom

***

No. 2
Computed, not measured: an optimized crystal structure of LaCoAsSe2 at the PBE level of DFT.

```
LaCoAsSe2
1.0
-4.965 -1.293 -2.459
1.308 -5.531 0.266
-2.470 -0.336 5.164
As La Se Co
1 1 2 1
direct
0.000 0.000 0.500
0.000 0.000 0.000
0.000 0.500 0.000
0.500 0.000 0.000
0.500 0.500 0.500
```

Values from the calculation:
Formation energy without anion corrections = 15.43 kcal/mol of atoms

***

No. 3
Computed, not measured: an optimized crystal structure of ErTm5Th at the PBE level of DFT.

```
ErTm5Th
1.0
10.383 0.000 0.000
0.000 6.502 0.000
-5.191 -3.251 3.233
Tm Er Th
5 1 1
direct
0.297 0.229 0.458
0.839 0.771 0.542
0.818 0.500 0.000
0.372 0.772 0.000
0.372 0.228 0.000
0.720 0.000 0.000
0.111 0.500 0.000
```

Values from the calculation:
Energy of formation = 0.299 eV/atom

***

no.,D(E_F) (states/eV per atom),total moment (μB/cell)
1,0.644,0.000
2,1.808,3.494
3,1.305,0.000